Density functional theory data (PBE) for a relaxed structure of ScP2W.

Unit cell a=3.0766 b=3.0765 c=6.4830 alpha=90.00 beta=90.00 gamma=90.00
Fractional positions:
1 P 0.0000 0.0000 0.9690
2 P 0.0000 0.0000 0.5310
3 W 0.5000 0.5000 0.7500
4 Sc 0.5000 0.5000 0.2500

energy	-8.07	eV/atom
formation energy	-2.170	eV per formula unit
Fermi-level density of states	2.913	states/eV/f.u.
symmetry	P4/mmm